Compound: AsOs3W
Source: Alexandria
Functional: GGA-PBE
Structure: relaxed

Cell lengths 4.7282, 4.7282, 4.7282 Å; angles 90.00, 90.00, 90.00 degrees
Sites, in units of the cell vectors:
Os (0.0000, 0.5000, 0.0000)
Os (0.5000, 0.0000, 0.0000)
Os (0.0000, 0.0000, 0.5000)
As (0.5000, 0.5000, 0.5000)
W (0.0000, 0.0000, 0.0000)

Output
Symmetry: Pm-3m
Formation enthalpy at 0 K (eV/atom): 2.3324
Total moment (μB/atom): 0.000
Energy above the lowest structure with this stoichiometry (eV/atom): 0.4571
Crystal system: cubic
DOS(E_F) (states/eV/cell): 6.79

Compound: TcMoSN2
Source: Alexandria
Functional: GGA-PBE
Structure: relaxed

Cell lengths 3.8718, 3.8718, 5.0814 Å; angles 90.00, 90.00, 90.00 degrees
Sites, in units of the cell vectors:
Mo (0.0000, 0.0000, 0.0000)
Tc (0.5000, 0.5000, 0.5000)
N (0.0000, 0.5000, 0.0000)
N (0.5000, 0.0000, 0.0000)
S (0.0000, 0.0000, 0.5000)

Output
Symmetry: P4/mmm
Total moment (μB/atom): 0.849
Energy above the lowest structure with this stoichiometry (eV/atom): 0.0000
Crystal system: tetragonal
DOS(E_F) (states/eV/cell): 2.21
Uncorrected formation energy (eV/atom): 0.810

Compound: Ta4ZnCu
Source: Alexandria
Functional: GGA-PBE
Structure: relaxed

Cell lengths 5.4114, 5.4114, 5.4114 Å; angles 60.00, 60.00, 60.00 degrees
Sites, in units of the cell vectors:
Ta (0.3754, 0.3754, 0.3754)
Ta (0.3754, 0.8739, 0.3754)
Ta (0.8739, 0.3754, 0.3754)
Ta (0.3754, 0.3754, 0.8739)
Zn (0.7500, 0.7500, 0.7500)
Cu (0.0000, 0.0000, 0.0000)

Output
Symmetry: F-43m
Formation enthalpy at 0 K (eV/atom): 0.6527
Total moment (μB/atom): 0.000
Crystal system: cubic
DOS(E_F) (states/eV/cell): 7.12

Compound: Nd2LuTa
Source: Alexandria
Functional: GGA-PBE
Structure: relaxed

Cell lengths 3.3068, 3.3068, 11.9920 Å; angles 82.08, 82.08, 60.00 degrees
Sites, in units of the cell vectors:
Nd (0.0832, 0.0832, 0.7503)
Nd (0.9168, 0.9168, 0.2497)
Ta (0.0000, 0.0000, 0.0000)
Lu (0.5000, 0.5000, 0.5000)

Output
Symmetry: R-3m
Formation enthalpy at 0 K (eV/atom): 0.6448
Total moment (μB/atom): 0.000
Crystal system: trigonal
DOS(E_F) (states/eV/cell): 5.96

Compound: Ba3LiRe
Source: Alexandria
Functional: GGA-PBE
Structure: relaxed

Cell lengths 5.9961, 5.9961, 5.9961 Å; angles 90.00, 90.00, 90.00 degrees
Sites, in units of the cell vectors:
Ba (0.0000, 0.0000, 0.5000)
Ba (0.0000, 0.5000, 0.0000)
Ba (0.5000, 0.0000, 0.0000)
Re (0.5000, 0.5000, 0.5000)
Li (0.0000, 0.0000, 0.0000)

Output
Symmetry: Pm-3m
Formation enthalpy at 0 K (eV/atom): 1.3327
Total moment (μB/atom): 0.623
Crystal system: cubic
DOS(E_F) (states/eV/cell): 8.03

Compound: LaTe2IrI
Source: Alexandria
Functional: GGA-PBE
Structure: relaxed

Cell lengths 5.3679, 5.3679, 5.2464 Å; angles 90.00, 90.00, 90.00 degrees
Sites, in units of the cell vectors:
I (0.0000, 0.0000, 0.5000)
Ir (0.0000, 0.0000, 0.0000)
La (0.5000, 0.5000, 0.5000)
Te (0.5000, 0.0000, 0.0000)
Te (0.0000, 0.5000, 0.0000)

Output
Symmetry: P4/mmm
Total moment (μB/atom): 0.000
Energy above the lowest structure with this stoichiometry (eV/atom): 0.0000
Crystal system: tetragonal
DOS(E_F) (states/eV/cell): 1.58
Uncorrected formation energy (eV/atom): -0.359

Compound: CrTeRh
Source: Alexandria
Functional: GGA-PBE
Structure: relaxed

Cell lengths 3.4572, 3.4573, 10.6039 Å; angles 90.00, 90.00, 120.00 degrees
Sites, in units of the cell vectors:
Te (0.7778, 0.5556, 0.6648)
Te (0.7778, 0.5556, 0.3352)
Cr (0.4445, 0.8890, 0.5000)
Cr (0.4444, 0.8888, 0.0000)
Rh (0.1110, 0.2221, 0.1284)
Rh (0.1110, 0.2221, 0.8716)

Output
Symmetry: P-6m2
Total moment (μB/atom): 0.301
Crystal system: hexagonal
DOS(E_F) (states/eV/cell): 4.36
Uncorrected formation energy (eV/atom): 0.255

Compound: CsRb2ZnPt
Source: Alexandria
Functional: GGA-PBE
Structure: relaxed

Cell lengths 6.7617, 6.7617, 5.0110 Å; angles 90.00, 90.00, 90.00 degrees
Sites, in units of the cell vectors:
Zn (0.0000, 0.0000, 0.5000)
Rb (0.0000, 0.5000, 0.0000)
Rb (0.5000, 0.0000, 0.0000)
Pt (0.0000, 0.0000, 0.0000)
Cs (0.5000, 0.5000, 0.5000)

Output
Symmetry: P4/mmm
Formation enthalpy at 0 K (eV/atom): 0.0370
Total moment (μB/atom): 0.000
Crystal system: tetragonal
DOS(E_F) (states/eV/cell): 2.56

Compound: Hf2TiSi2
Source: Alexandria
Functional: GGA-PBE
Structure: relaxed

Cell lengths 3.9816, 3.9816, 6.5250 Å; angles 72.24, 72.24, 90.00 degrees
Sites, in units of the cell vectors:
Si (0.4047, 0.4047, 0.1906)
Si (0.5953, 0.5953, 0.8094)
Ti (0.0000, 0.0000, 0.0000)
Hf (0.7500, 0.2500, 0.5000)
Hf (0.2500, 0.7500, 0.5000)

Output
Symmetry: I4/mmm
Total moment (μB/atom): 0.000
Energy above the lowest structure with this stoichiometry (eV/atom): 0.5768
Crystal system: tetragonal
DOS(E_F) (states/eV/cell): 2.61
Uncorrected formation energy (eV/atom): -0.219

Compound: Er8GaTe2
Source: Alexandria
Functional: GGA-PBE
Structure: relaxed

Cell lengths 9.5290, 7.4094, 7.4094 Å; angles 49.39, 122.14, 122.14 degrees
Sites, in units of the cell vectors:
Er (0.1590, 0.6300, 0.6300)
Er (0.1887, 0.1563, 0.6652)
Er (0.8410, 0.3700, 0.3700)
Er (0.8113, 0.3348, 0.8437)
Er (0.8113, 0.8437, 0.3348)
Er (0.1887, 0.6652, 0.1563)
Er (0.4065, 0.3025, 0.3025)
Er (0.5935, 0.6975, 0.6975)
Ga (0.0000, 0.0000, 0.0000)
Te (0.4914, 0.8707, 0.8707)
Te (0.5086, 0.1293, 0.1293)

Output
Symmetry: C2/m
Total moment (μB/atom): 0.000
Crystal system: monoclinic
DOS(E_F) (states/eV/cell): 11.76
Uncorrected formation energy (eV/atom): -0.308

Compound: NaAgCl3
Source: Alexandria
Functional: GGA-PBE
Structure: relaxed

Cell lengths 7.1740, 7.1437, 6.7625 Å; angles 121.88, 116.68, 90.00 degrees
Sites, in units of the cell vectors:
Na (0.8963, 0.3117, 0.1063)
Na (0.3963, 0.7947, 0.1063)
Cl (0.7111, 0.2463, 0.3616)
Cl (0.7374, 0.6405, 0.9938)
Cl (0.2374, 0.3533, 0.9938)
Cl (0.2490, 0.7187, 0.6014)
Cl (0.7490, 0.8827, 0.6014)
Cl (0.2111, 0.1153, 0.3616)
Ag (0.9934, 0.9973, 0.4930)
Ag (0.4934, 0.4956, 0.4930)

Output
Symmetry: Cc
Total moment (μB/atom): 0.000
Energy above the lowest structure with this stoichiometry (eV/atom): 0.0000
Crystal system: monoclinic
DOS(E_F) (states/eV/cell): 2.46
Uncorrected formation energy (eV/atom): -0.922

Compound: SrGa2Ge
Source: Alexandria
Functional: GGA-PBE
Structure: relaxed

Cell lengths 4.8561, 4.8561, 9.8850 Å; angles 75.78, 75.78, 90.00 degrees
Sites, in units of the cell vectors:
Ga (0.8750, 0.6862, 0.7500)
Ga (0.4362, 0.1250, 0.2500)
Ga (0.3750, 0.5638, 0.7500)
Ga (0.3138, 0.6250, 0.2500)
Sr (0.0000, 0.0000, 0.0000)
Sr (0.7500, 0.2500, 0.5000)
Ge (0.5000, 0.5000, 0.0000)
Ge (0.2500, 0.7500, 0.5000)

Output
Symmetry: I-42d
Formation enthalpy at 0 K (eV/atom): -0.2092
Total moment (μB/atom): 0.000
Crystal system: tetragonal
DOS(E_F) (states/eV/cell): 3.50

Compound: Sr2LaPt
Source: Alexandria
Functional: GGA-PBE
Structure: relaxed

Cell lengths 3.7993, 3.7993, 10.2393 Å; angles 90.00, 90.00, 90.00 degrees
Sites, in units of the cell vectors:
Sr (0.0000, 0.0000, 0.9233)
Sr (0.5000, 0.5000, 0.2643)
Pt (0.5000, 0.5000, 0.7253)
La (0.0000, 0.0000, 0.5870)

Output
Symmetry: P4mm
Formation enthalpy at 0 K (eV/atom): -0.4963
Total moment (μB/atom): 0.000
Energy above the lowest structure with this stoichiometry (eV/atom): 0.1100
Crystal system: tetragonal
DOS(E_F) (states/eV/cell): 3.71

Compound: K3ErB2O6
Source: Alexandria
Functional: GGA-PBE
Structure: relaxed

Cell lengths 5.5472, 5.5472, 6.8949 Å; angles 90.00, 90.00, 120.00 degrees
Sites, in units of the cell vectors:
K (0.3333, 0.6667, 0.7400)
K (0.0000, 0.0000, 0.0000)
K (0.6667, 0.3333, 0.2600)
B (0.6667, 0.3333, 0.6982)
B (0.3333, 0.6667, 0.3018)
O (0.1881, 0.3762, 0.3027)
O (0.8119, 0.6238, 0.6973)
O (0.1881, 0.8119, 0.3027)
O (0.3762, 0.1881, 0.6973)
O (0.8119, 0.1881, 0.6973)
O (0.6238, 0.8119, 0.3027)
Er (0.0000, 0.0000, 0.5000)

Output
Symmetry: P-3m1
Total moment (μB/atom): 0.000
Crystal system: trigonal
DOS(E_F) (states/eV/cell): 0.00
Uncorrected formation energy (eV/atom): -2.503

Compound: Ba2PtN
Source: Alexandria
Functional: GGA-PBE
Structure: relaxed

Cell lengths 7.5887, 7.5887, 6.8694 Å; angles 56.47, 56.47, 90.00 degrees
Sites, in units of the cell vectors:
Pt (0.7500, 0.2500, 0.5000)
Pt (0.0000, 0.0000, 0.0000)
Ba (0.5736, 0.1250, 0.2500)
Ba (0.8750, 0.8236, 0.7500)
Ba (0.3750, 0.4264, 0.7500)
Ba (0.1764, 0.6250, 0.2500)
N (0.5000, 0.5000, 0.0000)
N (0.2500, 0.7500, 0.5000)

Output
Symmetry: I-42d
Total moment (μB/atom): 0.250
Crystal system: tetragonal
DOS(E_F) (states/eV/cell): 2.51
Uncorrected formation energy (eV/atom): -0.136

Compound: Cs3K9Cd2
Source: Alexandria
Functional: GGA-PBE
Structure: relaxed

Cell lengths 6.6378, 12.5440, 12.5440 Å; angles 88.11, 74.66, 74.66 degrees
Sites, in units of the cell vectors:
K (0.3576, 0.2747, 0.0101)
K (0.6424, 0.9899, 0.7253)
K (0.7108, 0.4126, 0.1657)
K (0.3576, 0.0101, 0.2747)
K (0.7108, 0.1657, 0.4126)
K (0.2892, 0.5874, 0.8343)
K (0.5000, 0.5000, 0.5000)
K (0.6424, 0.7253, 0.9899)
K (0.2892, 0.8343, 0.5874)
Cs (0.0000, 0.6845, 0.3155)
Cs (0.0000, 0.0000, 0.0000)
Cs (0.0000, 0.3155, 0.6845)
Cd (0.8342, 0.6658, 0.6658)
Cd (0.1658, 0.3342, 0.3342)

Output
Symmetry: Immm
Formation enthalpy at 0 K (eV/atom): 0.0221
Total moment (μB/atom): 0.000
Crystal system: orthorhombic
DOS(E_F) (states/eV/cell): 10.89

Compound: HfCrSnSb2
Source: Alexandria
Functional: GGA-PBE
Structure: relaxed

Cell lengths 5.4919, 5.0405, 5.4919 Å; angles 90.00, 90.00, 90.00 degrees
Sites, in units of the cell vectors:
Hf (0.0000, 0.0000, 0.0000)
Cr (0.0000, 0.5000, 0.0000)
Sb (0.0000, 0.0000, 0.5000)
Sb (0.5000, 0.0000, 0.0000)
Sn (0.5000, 0.5000, 0.5000)

Output
Symmetry: P4/mmm
Total moment (μB/atom): 0.756
Crystal system: tetragonal
DOS(E_F) (states/eV/cell): 5.34
Uncorrected formation energy (eV/atom): 0.753

Compound: Cd2Cu2B
Source: Alexandria
Functional: GGA-PBE
Structure: relaxed

Cell lengths 5.6906, 5.6906, 4.6495 Å; angles 90.00, 90.00, 90.00 degrees
Sites, in units of the cell vectors:
Cd (0.1711, 0.6711, 0.5000)
Cd (0.8289, 0.3289, 0.5000)
Cd (0.6711, 0.8289, 0.5000)
Cd (0.3289, 0.1711, 0.5000)
Cu (0.1739, 0.3261, 0.0000)
Cu (0.6739, 0.1739, 0.0000)
Cu (0.8261, 0.6739, 0.0000)
Cu (0.3261, 0.8261, 0.0000)
B (0.0000, 0.0000, 0.0000)
B (0.5000, 0.5000, 0.0000)

Output
Symmetry: P4/mbm
Formation enthalpy at 0 K (eV/atom): 0.3842
Total moment (μB/atom): 0.000
Energy above the lowest structure with this stoichiometry (eV/atom): 0.0000
Crystal system: tetragonal
DOS(E_F) (states/eV/cell): 3.73

Compound: LiHoThIr
Source: Alexandria
Functional: GGA-PBE
Structure: relaxed

Cell lengths 5.0109, 5.0109, 5.0109 Å; angles 60.00, 60.00, 60.00 degrees
Sites, in units of the cell vectors:
Th (0.5000, 0.5000, 0.5000)
Ir (0.2500, 0.2500, 0.2500)
Ho (0.0000, 0.0000, 0.0000)
Li (0.7500, 0.7500, 0.7500)

Output
Symmetry: F-43m
Formation enthalpy at 0 K (eV/atom): -0.4467
Total moment (μB/atom): 0.000
Crystal system: cubic
DOS(E_F) (states/eV/cell): 3.56

Compound: Rb2Ge2Ir
Source: Alexandria
Functional: GGA-PBE
Structure: relaxed

Cell lengths 6.5818, 6.5818, 5.9907 Å; angles 90.00, 90.00, 90.00 degrees
Sites, in units of the cell vectors:
Ir (0.0000, 0.0000, 0.0000)
Ir (0.5000, 0.5000, 0.0000)
Rb (0.8185, 0.3185, 0.5000)
Rb (0.3185, 0.1815, 0.5000)
Rb (0.6815, 0.8185, 0.5000)
Rb (0.1815, 0.6815, 0.5000)
Ge (0.3522, 0.8522, 0.0000)
Ge (0.8522, 0.6478, 0.0000)
Ge (0.1478, 0.3522, 0.0000)
Ge (0.6478, 0.1478, 0.0000)

Output
Symmetry: P4/mbm
Formation enthalpy at 0 K (eV/atom): 0.0511
Total moment (μB/atom): 0.000
Crystal system: tetragonal
DOS(E_F) (states/eV/cell): 4.39